Density functional theory data (PBE) for ScZnFeCo after structural relaxation. Values from VASP.

```
&SYSTEM
  ibrav = 0, nat = 16, ntyp = 4
/
ATOMIC_SPECIES
Sc 44.96 Sc.upf
Zn 65.41 Zn.upf
Fe 55.84 Fe.upf
Co 58.93 Co.upf
CELL_PARAMETERS angstrom
6.0089 0.0000 0.0000
0.0000 6.0089 0.0000
0.0000 0.0000 6.0089
ATOMIC_POSITIONS crystal
Sc 0.0000 0.0000 0.0000
Sc 0.0000 0.5000 0.5000
Sc 0.5000 0.0000 0.5000
Sc 0.5000 0.5000 0.0000
Zn 0.2500 0.2500 0.7500
Zn 0.2500 0.7500 0.2500
Zn 0.7500 0.2500 0.2500
Zn 0.7500 0.7500 0.7500
Fe 0.2500 0.2500 0.2500
Fe 0.2500 0.7500 0.7500
Fe 0.7500 0.2500 0.7500
Fe 0.7500 0.7500 0.2500
Co 0.0000 0.0000 0.5000
Co 0.0000 0.5000 0.0000
Co 0.5000 0.0000 0.0000
Co 0.5000 0.5000 0.5000
```

Properties
- ΔE_f: -45.8 meV per atom
- E above lowest polymorph: 0.14 eV/f.u.